Record 1
The following is a DFT calculation (PBE) of a relaxed structure of TaNiOs2.

Cell: 2.7639 2.7639 7.5753 Å, 90.00 90.00 89.94°
Closest atoms and distances in Å follow each position.
Positions (direct):
Os  0.0000  0.0000  0.9763  4 Ni 2.60, 4 Os 2.76, 4 Ta 2.85
Os  0.0000  0.0000  0.5237  4 Ni 2.60, 4 Os 2.76, 4 Ta 2.85
Ta  0.5000  0.5000  0.2500  4 Ta 2.76, 8 Os 2.85
Ni  0.5000  0.5000  0.7500  8 Os 2.60, 4 Ni 2.76

Properties
Space group: No. 123
Crystal system: tetragonal
M_tot, μB/f.u.: 0.00
DFT formation energy, eV/atom: 0.12


Record 2
The following is a DFT calculation (PBE) of a relaxed structure of BaZnBr2.

Cell: 5.6692 5.6692 5.6692 Å, 60.00 60.00 60.00°
Closest atoms and distances in Å follow each position.
Positions (direct):
Br  0.2500  0.2500  0.2500  4 Ba 3.47, 4 Zn 3.47
Br  0.7500  0.7500  0.7500  4 Zn 3.47, 4 Ba 3.47
Ba  0.5000  0.5000  0.5000  8 Br 3.47
Zn  0.0000  0.0000  0.0000  8 Br 3.47

Properties
Energy relative to the elements, uncorrected, meV per atom: -1337
Space group: No. 225
Crystal system: cubic
Distance to the lowest polymorph of the same formula, eV/atom: 0.005
M_tot, μB/f.u.: 0.00


Record 3
The following is a DFT calculation (PBE) of a relaxed structure of Tm2ScIr4.

Cell: 4.2585 4.2585 7.5183 Å, 90.00 90.00 90.00°
Closest atoms and distances in Å follow each position.
Positions (direct):
Tm  0.5000  0.5000  0.5000  8 Ir 2.86
Tm  0.0000  0.0000  0.0000  8 Ir 2.82, 4 Sc 3.01
Sc  0.5000  0.5000  0.0000  8 Ir 2.82, 4 Tm 3.01
Ir  0.5000  0.0000  0.2458  2 Sc 2.82, 4 Tm 2.82-2.86, 4 Ir 3.01
Ir  0.0000  0.5000  0.7542  2 Sc 2.82, 4 Tm 2.82-2.86, 4 Ir 3.01
Ir  0.5000  0.0000  0.7542  2 Sc 2.82, 4 Tm 2.82-2.86, 4 Ir 3.01
Ir  0.0000  0.5000  0.2458  2 Sc 2.82, 4 Tm 2.82-2.86, 4 Ir 3.01

Properties
Space group: No. 123
Crystal system: tetragonal
M_tot, μB/f.u.: 0.00
DFT formation energy, eV/atom: -0.41


Record 4
The following is a DFT calculation (PBE) of a relaxed structure of SiAg5.

Cell: 5.4152 5.4152 4.7780 Å, 90.00 90.00 120.00°
Closest atoms and distances in Å follow each position.
Positions (direct):
Ag  0.6667  0.3333  0.0000  9 Ag 2.85-3.13, 3 Si 3.13
Ag  0.0000  0.5000  0.5000  8 Ag 2.71-2.85
Ag  0.5000  0.5000  0.5000  8 Ag 2.71-2.85
Ag  0.5000  0.0000  0.5000  8 Ag 2.71-2.85
Ag  0.3333  0.6667  0.0000  9 Ag 2.85-3.13, 3 Si 3.13
Si  0.0000  0.0000  0.0000  6 Ag 3.13

Properties
Energy relative to the elements, uncorrected, meV per atom: 434
Space group: No. 191
Crystal system: hexagonal
Distance to the lowest polymorph of the same formula, eV/atom: 0.305
M_tot, μB/f.u.: 0.00


Record 5
The following is a DFT calculation (PBE) of a relaxed structure of Co4NiPt.

Cell: 4.6821 4.6821 4.6821 Å, 60.00 60.00 60.00°
Closest atoms and distances in Å follow each position.
Positions (direct):
Pt  0.0000  0.0000  0.0000  12 Co 2.75, 4 Ni 2.87
Co  0.3754  0.3754  0.8736  6 Co 2.33-2.35
Co  0.8736  0.3754  0.3754  6 Co 2.33-2.35
Co  0.3754  0.3754  0.3754  6 Co 2.33-2.35
Co  0.3754  0.8736  0.3754  6 Co 2.33-2.35
Ni  0.7500  0.7500  0.7500  12 Co 2.74, 4 Pt 2.87

Properties
Space group: No. 216
Crystal system: cubic
Distance to the lowest polymorph of the same formula, eV/atom: 0.105
M_tot, μB/f.u.: 8.09
DFT formation energy, eV/atom: 0.09